Record 1
The following is a DFT calculation (PBE) of LiDyGeAu after structural relaxation.

a = 4.827 Å, b = 4.827 Å, c = 4.827 Å
α = 60.00°, β = 60.00°, γ = 60.00°
Sites, in units of the cell vectors:
1 Li 0.000 0.000 0.000
2 Dy 0.500 0.500 0.500
3 Ge 0.250 0.250 0.250
4 Au 0.750 0.750 0.750

energy relative to the elements = -642 meV/atom

=====

Record 2
The following is a DFT calculation (PBE) of Nd3ThAl8 after structural relaxation.

a = 5.663 Å, b = 5.663 Å, c = 9.400 Å
α = 90.00°, β = 90.00°, γ = 120.00°
Sites, in units of the cell vectors:
1 Nd 0.000 0.000 0.000
2 Nd 0.000 0.000 0.365
3 Nd 0.333 0.667 0.864
4 Th 0.333 0.667 0.501
5 Al 0.008 0.504 0.184
6 Al 0.326 0.163 0.682
7 Al 0.496 0.504 0.184
8 Al 0.496 0.992 0.184
9 Al 0.667 0.333 0.432
10 Al 0.667 0.333 0.936
11 Al 0.837 0.163 0.682
12 Al 0.837 0.674 0.682

energy relative to the elements = -465 meV/atom

=====

Record 3
The following is a DFT calculation (PBE) of CdHg2BiSb after structural relaxation.

a = 5.576 Å, b = 5.576 Å, c = 5.661 Å
α = 90.00°, β = 90.00°, γ = 90.00°
Sites, in units of the cell vectors:
1 Cd 0.000 0.000 0.000
2 Hg 0.000 0.500 0.500
3 Hg 0.500 0.000 0.500
4 Bi 0.500 0.500 0.000
5 Sb 0.000 0.000 0.500

raw formation energy = 0.4159 eV/atom

=====

Record 4
The following is a DFT calculation (PBE) of Pr2Nd3Er4 after structural relaxation.

a = 6.248 Å, b = 6.255 Å, c = 8.065 Å
α = 82.53°, β = 75.15°, γ = 80.52°
Sites, in units of the cell vectors:
1 Pr 0.168 0.332 0.333
2 Pr 0.832 0.668 0.667
3 Nd 0.058 0.110 0.778
4 Nd 0.500 0.000 0.000
5 Nd 0.942 0.890 0.222
6 Er 0.278 0.553 0.888
7 Er 0.391 0.774 0.446
8 Er 0.609 0.226 0.554
9 Er 0.722 0.447 0.112

energy relative to the elements = 20 meV/atom

=====

Number 1: E -4.244 eV per atom, ρ 9.2 g/cm³. Number 2: E -4.771 eV per atom, ρ 5.6 g/cm³. Number 3: E -1.489 eV per atom, ρ 8.0 g/cm³. Number 4: E -4.659 eV per atom, ρ 7.7 g/cm³.